*1*
Entry from the Alexandria database: a relaxed ScRe2Cl2 crystal (GGA-PBE).

Unit cell a=4.0500 b=4.0500 c=11.6912 alpha=90.00 beta=90.00 gamma=90.00
Space group I4/mmm (No. 139)
Unique sites:
Sc 0.0000 0.0000 0.0000 x2
Re 0.0000 0.0000 0.4033 x4
Cl 0.0000 0.5000 0.2500 x4

magnetization: 0.0 μB/f.u.
theoretical density: 8.5 g cm⁻³


*2*
Entry from the Alexandria database: a relaxed ScRe2Cl2 crystal (GGA-PBE).

Unit cell a=8.1680 b=8.1680 c=2.8829 alpha=90.00 beta=90.00 gamma=90.00
Space group P4/mbm (No. 127)
Unique sites:
Sc 0.0000 0.0000 0.0000 x2
Re 0.1056 0.3944 0.0000 x4
Cl 0.2311 0.7311 0.5000 x4

magnetization: 0.0 μB/f.u.
theoretical density: 8.4 g cm⁻³


In order of decreasing stability: *1*, *2*.


*1*
Entry from the Alexandria database: a relaxed ReSe2Cl crystal (GGA-PBE).

Unit cell a=6.4991 b=6.4991 c=6.4991 alpha=90.00 beta=90.00 gamma=90.00
Space group F-43m (No. 216)
Unique sites:
Re 0.0000 0.0000 0.0000 x4
Se 0.0000 0.0000 0.5000 x4
Se 0.2500 0.2500 0.2500 x4
Cl 0.2500 0.2500 0.7500 x4

magnetization: 0.4 μB/f.u.
theoretical density: 9.2 g cm⁻³


*2*
Entry from the Alexandria database: a relaxed ReSe2Cl crystal (GGA-PBE).

Unit cell a=4.8095 b=4.8095 c=3.0173 alpha=90.00 beta=90.00 gamma=90.00
Space group P4/mmm (No. 123)
Unique sites:
Re 0.0000 0.0000 0.0000 x1
Se 0.0000 0.5000 0.5000 x2
Cl 0.5000 0.5000 0.0000 x1

magnetization: 0.5 μB/f.u.
theoretical density: 9.0 g cm⁻³


*3*
Entry from the Alexandria database: a relaxed ReSe2Cl crystal (GGA-PBE).

Unit cell a=2.9592 b=2.9592 c=9.7737 alpha=90.00 beta=90.00 gamma=90.00
Space group P4mm (No. 99)
Unique sites:
Re 0.0000 0.0000 0.0000 x1
Se 0.0000 0.0000 0.4825 x1
Se 0.5000 0.5000 0.1534 x1
Cl 0.5000 0.5000 0.8280 x1

magnetization: 0.0 μB/f.u.
theoretical density: 7.4 g cm⁻³


In order of decreasing stability: *3*, *2*, *1*.


*1*
Entry from the Alexandria database: a relaxed ReSe4Cl crystal (GGA-PBE).

Unit cell a=7.9963 b=7.9963 c=7.9963 alpha=90.00 beta=90.00 gamma=90.00
Space group F-43m (No. 216)
Unique sites:
Re 0.0000 0.0000 0.0000 x4
Se 0.1260 0.1260 0.6260 x16
Cl 0.2500 0.2500 0.2500 x4

magnetization: 4.3 μB/f.u.
theoretical density: 7.0 g cm⁻³


*2*
Entry from the Alexandria database: a relaxed ReSe4Cl crystal (GGA-PBE).

Unit cell a=6.3329 b=7.4339 c=8.1458 alpha=100.03 beta=112.73 gamma=106.20
Space group P-1 (No. 2)
Unique sites:
Re 0.2252 0.9995 0.9996 x2
Se 0.1477 0.3191 0.0844 x2
Se 0.1820 0.1099 0.2925 x2
Se 0.3251 0.6891 0.8541 x2
Se 0.4536 0.1324 0.8201 x2
Cl 0.1637 0.8227 0.4418 x2

magnetization: 0.0 μB/f.u.
theoretical density: 5.5 g cm⁻³


In order of decreasing stability: *2*, *1*.


*1*
Entry from the Alexandria database: a relaxed ReSeCl3 crystal (GGA-PBE).

Unit cell a=4.7538 b=4.7538 c=4.7538 alpha=90.00 beta=90.00 gamma=90.00
Space group Pm-3m (No. 221)
Unique sites:
Re 0.0000 0.0000 0.0000 x1
Se 0.5000 0.5000 0.5000 x1
Cl 0.0000 0.0000 0.5000 x3

magnetization: 1.0 μB/f.u.
theoretical density: 5.7 g cm⁻³


*2*
Entry from the Alexandria database: a relaxed ReSeCl3 crystal (GGA-PBE).

Unit cell a=6.6869 b=6.6739 c=5.5839 alpha=90.00 beta=90.00 gamma=90.00
Space group Pmn2_1 (No. 31)
Unique sites:
Re 0.0000 0.0210 0.0000 x2
Se 0.0000 0.2944 0.2348 x2
Cl 0.0000 0.7099 0.7808 x2
Cl 0.2398 0.1542 0.7201 x4

magnetization: 0.0 μB/f.u.
theoretical density: 5.0 g cm⁻³


*3*
Entry from the Alexandria database: a relaxed ReSeCl3 crystal (GGA-PBE).

Unit cell a=5.1772 b=5.1772 c=5.1772 alpha=90.00 beta=90.00 gamma=90.00
Space group Pm-3m (No. 221)
Unique sites:
Re 0.0000 0.0000 0.0000 x1
Se 0.5000 0.5000 0.5000 x1
Cl 0.0000 0.5000 0.5000 x3

magnetization: 5.9 μB/f.u.
theoretical density: 4.4 g cm⁻³


In order of decreasing stability: *2*, *1*, *3*.


*1*
Entry from the Alexandria database: a relaxed ReSi2Cl crystal (GGA-PBE).

Unit cell a=7.6013 b=3.2013 c=7.2394 alpha=90.00 beta=117.27 gamma=90.00
Space group Cm (No. 8)
Unique sites:
Re 0.0000 0.0000 0.0000 x2
Si 0.2218 0.0000 0.8398 x2
Si 0.4474 0.0000 0.7004 x2
Cl 0.1630 0.5000 0.2973 x2

magnetization: 0.0 μB/f.u.
theoretical density: 5.9 g cm⁻³


*2*
Entry from the Alexandria database: a relaxed ReSi2Cl crystal (GGA-PBE).

Unit cell a=3.5583 b=3.5583 c=4.7644 alpha=90.00 beta=90.00 gamma=90.00
Space group P4/mmm (No. 123)
Unique sites:
Re 0.0000 0.0000 0.0000 x1
Si 0.0000 0.5000 0.5000 x2
Cl 0.5000 0.5000 0.0000 x1

magnetization: 0.6 μB/f.u.
theoretical density: 7.6 g cm⁻³


In order of decreasing stability: *1*, *2*.


*1*
Entry from the Alexandria database: a relaxed ReSi2Cl crystal (GGA-PBE).

Unit cell a=2.9602 b=2.9602 c=27.5413 alpha=90.00 beta=90.00 gamma=120.00
Space group R3m (No. 160, hexagonal axes)
Unique sites:
Re 0.0000 0.0000 0.0000 x3
Si 0.0000 0.0000 0.4737 x3
Si 0.0000 0.0000 0.7332 x3
Cl 0.0000 0.0000 0.2651 x3

magnetization: 0.0 μB/f.u.
theoretical density: 6.6 g cm⁻³


*2*
Entry from the Alexandria database: a relaxed ReSi2Cl crystal (GGA-PBE).

Unit cell a=6.1712 b=6.1712 c=6.1712 alpha=90.00 beta=90.00 gamma=90.00
Space group F-43m (No. 216)
Unique sites:
Re 0.0000 0.0000 0.0000 x4
Si 0.0000 0.0000 0.5000 x4
Si 0.2500 0.2500 0.7500 x4
Cl 0.2500 0.2500 0.2500 x4

magnetization: 0.0 μB/f.u.
theoretical density: 7.9 g cm⁻³


In order of decreasing stability: *1*, *2*.